Record 1
{
  "formula": "Sm5Tm2Tl",
  "functional": "PBE-GGA",
  "state": "relaxed",
  "lattice": [[6.700, -5.635, 0.000], [6.700, 5.635, 0.000], [-0.889, 0.000, 3.344]],
  "species": ["Sm", "Sm", "Sm", "Sm", "Sm", "Tm", "Tm", "Tl"],
  "frac_coords": [[0.000, 0.000, 0.000], [0.100, 0.636, 0.368], [0.364, 0.900, 0.632], [0.636, 0.100, 0.368], [0.900, 0.364, 0.632], [0.270, 0.270, 0.269], [0.730, 0.730, 0.731], [0.500, 0.500, 0.000]],
  "mass_density_g_cm3": 8.51,
  "crystal_system": "monoclinic"
}

***

Record 2
{
  "formula": "SmTm4Tl",
  "functional": "PBE-GGA",
  "state": "relaxed",
  "lattice": [[2.751, -10.475, 0.000], [2.751, 10.475, 0.000], [0.000, 0.000, 6.470]],
  "species": ["Sm", "Sm", "Tm", "Tm", "Tm", "Tm", "Tm", "Tm", "Tm", "Tm", "Tl", "Tl"],
  "frac_coords": [[0.063, 0.937, 0.500], [0.937, 0.063, 0.000], [0.140, 0.860, 0.014], [0.256, 0.744, 0.377], [0.317, 0.683, 0.856], [0.459, 0.541, 0.675], [0.541, 0.459, 0.175], [0.683, 0.317, 0.356], [0.744, 0.256, 0.877], [0.860, 0.140, 0.514], [0.398, 0.602, 0.251], [0.602, 0.398, 0.751]],
  "mass_density_g_cm3": 9.18,
  "crystal_system": "orthorhombic"
}

***

Record 3
{
  "formula": "Sm4TmTl",
  "functional": "PBE-GGA",
  "state": "relaxed",
  "lattice": [[4.421, -7.132, 0.000], [4.421, 7.132, 0.000], [-2.168, 0.000, 6.163]],
  "species": ["Sm", "Sm", "Sm", "Sm", "Sm", "Sm", "Sm", "Sm", "Tm", "Tm", "Tl", "Tl"],
  "frac_coords": [[0.094, 0.713, 0.957], [0.166, 0.408, 0.621], [0.287, 0.906, 0.543], [0.408, 0.166, 0.121], [0.592, 0.834, 0.879], [0.713, 0.094, 0.457], [0.834, 0.592, 0.379], [0.906, 0.287, 0.043], [0.410, 0.590, 0.250], [0.590, 0.410, 0.750], [0.000, 0.000, 0.250], [0.000, 0.000, 0.750]],
  "mass_density_g_cm3": 8.33,
  "crystal_system": "monoclinic"
}

***

Record 4
{
  "formula": "Sm6TmTl2",
  "functional": "PBE-GGA",
  "state": "relaxed",
  "lattice": [[6.507, -1.896, 0.000], [6.507, 1.896, 0.000], [-3.709, 0.000, 11.476]],
  "species": ["Sm", "Sm", "Sm", "Sm", "Sm", "Sm", "Tm", "Tl", "Tl"],
  "frac_coords": [[0.016, 0.016, 0.344], [0.307, 0.307, 0.410], [0.318, 0.318, 0.123], [0.682, 0.682, 0.877], [0.693, 0.693, 0.590], [0.984, 0.984, 0.656], [0.000, 0.000, 0.000], [0.363, 0.363, 0.804], [0.637, 0.637, 0.196]],
  "mass_density_g_cm3": 8.68,
  "crystal_system": "monoclinic"
}

***

Values of excess energy over the best structure of this formula in the dataset, in order: 0.0194; 0.1351; 0.0826; 0.0000, all in eV/atom.
Values of ΔH_f (0 K), in order: 0.00; 0.03; -0.02; -0.15, all in eV/atom.